# 1
A plane-wave DFT calculation with PBE was carried out for Pm2PrNdTm4 after structural relaxation. Values from VASP.

Quantum ESPRESSO input file:
```
&SYSTEM
  ibrav = 0, nat = 16, ntyp = 4
/
ATOMIC_SPECIES
Pm 145.00 Pm.upf
Pr 140.91 Pr.upf
Nd 144.24 Nd.upf
Tm 168.93 Tm.upf
ATOMIC_POSITIONS angstrom
Pm 0.000 0.000 0.000
Pm -1.694 2.972 3.308
Pm 0.000 5.944 0.000
Pm 1.694 2.972 3.308
Pr 3.389 0.000 0.000
Pr 0.000 0.000 6.616
Nd 1.694 2.972 -3.308
Nd 1.694 -2.972 3.308
Tm 0.000 0.007 3.305
Tm 1.693 2.972 0.006
Tm 1.696 -2.972 6.621
Tm 3.389 0.007 3.310
Tm 0.000 5.938 3.305
Tm 1.693 8.917 -0.006
Tm 1.696 2.972 6.610
Tm 3.389 5.938 3.310
CELL_PARAMETERS angstrom
-3.389 5.944 6.616
3.389 -5.944 6.616
3.389 5.944 -6.616
```

Computed properties:
D(E_F) (states/eV/f.u.): 19.079
Total energy (Ha/atom): -0.1546
Formation energy from the elements (meV per atom): 411

***

# 2
A plane-wave DFT calculation with PBE was carried out for Pm2Al4Ga3Au after structural relaxation. Values from VASP.

Quantum ESPRESSO input file:
```
&SYSTEM
  ibrav = 0, nat = 10, ntyp = 4
/
ATOMIC_SPECIES
Pm 145.00 Pm.upf
Al 26.98 Al.upf
Ga 69.72 Ga.upf
Au 196.97 Au.upf
ATOMIC_POSITIONS angstrom
Pm 0.000 2.153 2.663
Pm 2.153 0.000 8.089
Al 0.000 0.000 5.376
Al 0.000 2.153 9.336
Al 2.153 0.000 1.416
Al 2.153 2.153 5.376
Ga 0.000 0.000 0.000
Ga 0.000 2.153 6.861
Ga 2.153 0.000 3.891
Au 2.153 2.153 0.000
CELL_PARAMETERS angstrom
4.307 0.000 0.000
0.000 4.307 0.000
0.000 0.000 10.752
```

Computed properties:
D(E_F) (states/eV/f.u.): 2.167
Total energy (Ha/atom): -0.1538
Formation energy from the elements (meV per atom): -502

***

# 3
A plane-wave DFT calculation with PBE was carried out for Cs3MgZn after structural relaxation. Values from VASP.

Quantum ESPRESSO input file:
```
&SYSTEM
  ibrav = 0, nat = 5, ntyp = 3
/
ATOMIC_SPECIES
Cs 132.91 Cs.upf
Mg 24.30 Mg.upf
Zn 65.41 Zn.upf
ATOMIC_POSITIONS angstrom
Cs 0.000 0.000 3.580
Cs 0.000 3.580 0.000
Cs 3.580 0.000 0.000
Mg 3.580 3.580 3.580
Zn 0.000 0.000 0.000
CELL_PARAMETERS angstrom
7.161 0.000 0.000
0.000 7.161 0.000
0.000 0.000 7.161
```

Computed properties:
D(E_F) (states/eV/f.u.): 4.041
Total energy (Ha/atom): -0.0293
Formation energy from the elements (meV per atom): 290

***

# 4
A plane-wave DFT calculation with PBE was carried out for LiTb3Si6Pd2 after structural relaxation. Values from VASP.

Quantum ESPRESSO input file:
```
&SYSTEM
  ibrav = 0, nat = 12, ntyp = 4
/
ATOMIC_SPECIES
Li 6.94 Li.upf
Tb 158.93 Tb.upf
Si 28.09 Si.upf
Pd 106.42 Pd.upf
ATOMIC_POSITIONS angstrom
Li 0.000 0.000 0.000
Tb 0.000 0.000 4.005
Tb 0.000 3.307 0.886
Tb 2.864 1.653 7.124
Si 0.000 1.896 6.240
Si -1.222 4.012 6.240
Si 1.642 0.948 1.770
Si 1.222 4.012 6.240
Si 4.085 0.948 1.770
Si 2.864 3.064 1.770
Pd 0.000 3.307 4.194
Pd 2.864 1.653 3.816
CELL_PARAMETERS angstrom
5.727 0.000 0.000
-2.864 4.960 0.000
0.000 0.000 8.010
```

Computed properties:
D(E_F) (states/eV/f.u.): 2.961
Total energy (Ha/atom): -0.1965
Formation energy (no corrections) (eV per atom): -0.453

***

# 5
A plane-wave DFT calculation with PBE was carried out for Th2ReI after structural relaxation. Values from VASP.

Quantum ESPRESSO input file:
```
&SYSTEM
  ibrav = 0, nat = 4, ntyp = 3
/
ATOMIC_SPECIES
Th 232.04 Th.upf
Re 186.21 Re.upf
I 126.90 I.upf
ATOMIC_POSITIONS angstrom
Th 0.000 0.000 1.800
Th 0.000 0.000 6.924
Re 1.761 1.761 0.000
I 1.761 1.761 4.362
CELL_PARAMETERS angstrom
3.522 0.000 0.000
0.000 3.522 0.000
0.000 0.000 8.724
```

Computed properties:
D(E_F) (states/eV/f.u.): 3.875
Total energy (Ha/atom): -0.2757
Formation energy (no corrections) (eV per atom): -0.291

***

# 6
A plane-wave DFT calculation with PBE was carried out for Li4CaIn4 after structural relaxation. Values from VASP.

Quantum ESPRESSO input file:
```
&SYSTEM
  ibrav = 0, nat = 9, ntyp = 3
/
ATOMIC_SPECIES
Li 6.94 Li.upf
Ca 40.08 Ca.upf
In 114.82 In.upf
ATOMIC_POSITIONS angstrom
Li 3.172 0.000 0.000
Li 6.192 0.000 0.000
Li 0.000 3.172 0.000
Li 0.000 6.192 0.000
Ca 0.000 0.000 0.000
In 3.014 3.014 0.000
In 1.668 -1.668 2.309
In -1.668 1.668 2.309
In 1.668 1.668 2.309
CELL_PARAMETERS angstrom
-4.682 4.682 2.309
4.682 -4.682 2.309
4.682 4.682 -2.309
```

Computed properties:
D(E_F) (states/eV/f.u.): 3.626
Total energy (Ha/atom): -0.0925
Formation energy from the elements (meV per atom): -228

***

# 7
A plane-wave DFT calculation with PBE was carried out for MgMn2Se after structural relaxation. Values from VASP.

Quantum ESPRESSO input file:
```
&SYSTEM
  ibrav = 0, nat = 4, ntyp = 3
/
ATOMIC_SPECIES
Mg 24.30 Mg.upf
Mn 54.94 Mn.upf
Se 78.96 Se.upf
ATOMIC_POSITIONS angstrom
Mg 0.000 0.000 0.000
Mn 1.937 0.000 2.202
Mn 0.000 0.000 4.404
Se 0.000 1.937 2.202
CELL_PARAMETERS angstrom
-1.937 1.937 4.404
1.937 -1.937 4.404
1.937 1.937 -4.404
```

Computed properties:
D(E_F) (states/eV/f.u.): 2.822
Total energy (Ha/atom): -0.2104
Formation energy (no corrections) (eV per atom): 0.128

***

# 8
A plane-wave DFT calculation with PBE was carried out for BaTlInBi after structural relaxation. Values from VASP.

Quantum ESPRESSO input file:
```
&SYSTEM
  ibrav = 0, nat = 4, ntyp = 4
/
ATOMIC_SPECIES
Ba 137.33 Ba.upf
Tl 204.38 Tl.upf
In 114.82 In.upf
Bi 208.98 Bi.upf
ATOMIC_POSITIONS angstrom
Ba 0.000 0.000 0.000
Tl 6.133 6.133 6.133
In 2.044 2.044 2.044
Bi 4.089 4.089 4.089
CELL_PARAMETERS angstrom
0.000 4.089 4.089
4.089 0.000 4.089
4.089 4.089 0.000
```

Computed properties:
D(E_F) (states/eV/f.u.): 3.129
Total energy (Ha/atom): -0.1121
Formation energy from the elements (meV per atom): -323